This record from Alexandria via LeMat-Bulk describes a PBEsol-optimized structure of Mg3In. The functional is SCAN.

Calculated values
Formation enthalpy at 0 K = -0.147 eV/atom
Space-group type = Pm-3m
E_tot = -48.90 eV for the cell shown
Total magnetic moment = 0.05 μB per formula unit

Cell and atoms, written as CIF:
```
data_Mg3In
_chemical_formula_sum 'Mg3 In1'
_space_group_name_H-M_alt 'P 1'
_space_group_IT_number 1
_cell_length_a 4.4532
_cell_length_b 4.4532
_cell_length_c 4.4532
_cell_angle_alpha 90.00
_cell_angle_beta 90.00
_cell_angle_gamma 90.00
loop_
_space_group_symop_operation_xyz
'x,y,z'
loop_
_atom_site_label
_atom_site_type_symbol
_atom_site_fract_x
_atom_site_fract_y
_atom_site_fract_z
Mg1 Mg 0.5000 0.5000 0.0000
Mg2 Mg 0.5000 0.0000 0.5000
Mg3 Mg 0.0000 0.5000 0.5000
In1 In 0.0000 0.0000 0.0000
```

This record from Alexandria via LeMat-Bulk describes a PBEsol-optimized structure of MgIn. The functional is SCAN.

Calculated values
Formation enthalpy at 0 K = -0.105 eV/atom
Space-group type = Pmmn
E_tot = -77.14 eV for the cell shown
Total magnetic moment = 0.00 μB per formula unit

Cell and atoms, written as CIF:
```
data_MgIn
_chemical_formula_sum 'Mg2 In2'
_space_group_name_H-M_alt 'P 1'
_space_group_IT_number 1
_cell_length_a 3.3667
_cell_length_b 5.1263
_cell_length_c 5.3815
_cell_angle_alpha 90.00
_cell_angle_beta 90.00
_cell_angle_gamma 90.00
loop_
_space_group_symop_operation_xyz
'x,y,z'
loop_
_atom_site_label
_atom_site_type_symbol
_atom_site_fract_x
_atom_site_fract_y
_atom_site_fract_z
In1 In 0.5000 0.5934 0.5000
In2 In 0.0000 0.4066 0.0000
Mg1 Mg 0.0000 0.0915 0.5000
Mg2 Mg 0.5000 0.9085 0.0000
```

This record from Alexandria via LeMat-Bulk describes a PBEsol-optimized structure of MgIn. The functional is SCAN.

Calculated values
Formation enthalpy at 0 K = -0.186 eV/atom
Space-group type = P4/mmm
E_tot = -38.73 eV for the cell shown
Total magnetic moment = 0.00 μB per formula unit

Cell and atoms, written as CIF:
```
data_MgIn
_chemical_formula_sum 'Mg1 In1'
_space_group_name_H-M_alt 'P 1'
_space_group_IT_number 1
_cell_length_a 3.2262
_cell_length_b 3.2262
_cell_length_c 4.3174
_cell_angle_alpha 90.00
_cell_angle_beta 90.00
_cell_angle_gamma 90.00
loop_
_space_group_symop_operation_xyz
'x,y,z'
loop_
_atom_site_label
_atom_site_type_symbol
_atom_site_fract_x
_atom_site_fract_y
_atom_site_fract_z
Mg1 Mg 0.5000 0.5000 0.5000
In1 In 0.0000 0.0000 0.0000
```

This record from Alexandria via LeMat-Bulk describes a PBEsol-optimized structure of MgIn8. The functional is SCAN.

Calculated values
Formation enthalpy at 0 K = 0.013 eV/atom
Space-group type = I4/mmm
E_tot = -271.95 eV for the cell shown
Total magnetic moment = 0.00 μB per formula unit

Cell and atoms, written as CIF:
```
data_MgIn8
_chemical_formula_sum 'Mg1 In8'
_space_group_name_H-M_alt 'P 1'
_space_group_IT_number 1
_cell_length_a 4.6224
_cell_length_b 7.3309
_cell_length_c 7.3309
_cell_angle_alpha 84.30
_cell_angle_beta 71.62
_cell_angle_gamma 71.62
loop_
_space_group_symop_operation_xyz
'x,y,z'
loop_
_atom_site_label
_atom_site_type_symbol
_atom_site_fract_x
_atom_site_fract_y
_atom_site_fract_z
In1 In 0.0000 0.6694 0.3306
In2 In 0.6694 0.3306 0.3306
In3 In 0.3352 0.0000 0.3296
In4 In 0.3352 0.3296 0.0000
In5 In 0.3306 0.6694 0.6694
In6 In 0.0000 0.3306 0.6694
In7 In 0.6648 0.6704 0.0000
In8 In 0.6648 0.0000 0.6704
Mg1 Mg 0.0000 0.0000 0.0000
```